The following is a DFT calculation (PBE) of a relaxed structure of Sm2DyLu.

Cell lengths 8.031, 8.031, 8.031 Å; angles 90.00, 90.00, 90.00 degrees
Space group Fm-3m (No. 225)
Inequivalent atoms, fractional coordinates:
Sm 0.250 0.250 0.250 x8
Dy 0.000 0.000 0.000 x4
Lu 0.000 0.000 0.500 x4

- ΔE to the lowest computed polymorph: 95 meV/atom
- Total energy: -4.5254 eV/atom
- Crystal system: cubic
- Calculated volume: 129.5 Å³/f.u.



The following is a DFT calculation (PBE) of a relaxed structure of Pr4Tl3Hg.

Cell lengths 4.475, 4.714, 12.012 Å; angles 90.00, 90.00, 90.00 degrees
Space group Pmm2 (No. 25)
Inequivalent atoms, fractional coordinates:
Pr 0.000 0.000 0.000 x1
Pr 0.000 0.500 0.273 x1
Pr 0.500 0.000 0.491 x1
Pr 0.500 0.500 0.775 x1
Tl 0.000 0.000 0.722 x1
Tl 0.000 0.500 0.548 x1
Tl 0.500 0.500 0.049 x1
Hg 0.500 0.000 0.222 x1

- ΔE to the lowest computed polymorph: 58 meV/atom
- Total energy: -3.6702 eV/atom
- Crystal system: orthorhombic
- Calculated volume: 253.4 Å³/f.u.



The following is a DFT calculation (PBE) of a relaxed structure of PuZn2Au6.

Cell lengths 13.057, 8.907, 3.100 Å; angles 90.00, 103.72, 90.00 degrees
Space group C2/m (No. 12)
Inequivalent atoms, fractional coordinates:
Pu 0.000 0.000 0.000 x2
Zn 0.138 0.500 0.140 x4
Au 0.000 0.336 0.500 x4
Au 0.182 0.158 0.682 x8

- Total energy: -4.2450 eV/atom
- Crystal system: monoclinic
- Calculated volume: 175.1 Å³/f.u.